VASP calculation (PBE+U) on crystalline FeCu3O at its relaxed geometry. Values from VASP.

Results
SG: Pm-3m, No. 221
Total DFT energy (no corrections) in eV per atom: -3.1138
Polymorph energy (0 for the lowest one) in eV/atom: 1.047

The structure in Quantum ESPRESSO input format:
```
&SYSTEM
  ibrav = 0, nat = 5, ntyp = 3
/
ATOMIC_SPECIES
Fe 55.84 Fe.upf
Cu 63.55 Cu.upf
O 16.00 O.upf
CELL_PARAMETERS angstrom
4.452 0.000 0.000
0.000 4.452 0.000
0.000 0.000 4.452
ATOMIC_POSITIONS crystal
Fe 0.000 0.000 0.000
Cu 0.000 0.000 0.500
Cu 0.000 0.500 0.000
Cu 0.500 0.000 0.000
O 0.500 0.500 0.500
```